Computed, not measured: a geometry-optimized Tl2SbF5 structure at the GGA-PBEsol level of DFT.

abc: 6.419 13.759 6.635
angles: 90.00 90.00 90.00
Space group Cmcm (No. 63)
Inequivalent atoms, fractional coordinates:
Tl 0.000 0.065 0.250
Tl 0.000 0.253 0.750
Sb 0.000 0.408 0.250
F 0.000 0.264 0.250
F 0.229 0.380 0.032

Raw formation energy in eV/atom: -2.08
N(E_F) in states/eV per atom: 0.000

Computed, not measured: a geometry-optimized Ba2HgSb structure at the GGA-PBEsol level of DFT.

abc: 4.463 5.638 5.636
angles: 90.00 90.00 90.00
Space group Pmm2 (No. 25)
Inequivalent atoms, fractional coordinates:
Ba 0.000 0.000 0.000
Ba 0.000 0.500 0.499
Hg 0.500 0.000 0.500
Sb 0.500 0.500 0.999

Polymorph energy (0 for the lowest one) in eV per atom: 0.005
Raw formation energy in eV/atom: -0.81
N(E_F) in states/eV per atom: 0.368

Computed, not measured: a geometry-optimized KVCu2S4 structure at the GGA-PBEsol level of DFT.

abc: 7.218 17.593 5.312
angles: 90.00 90.00 90.00
Space group Ama2 (No. 40)
Inequivalent atoms, fractional coordinates:
K 0.250 0.182 0.000
V 0.250 0.389 0.741
Cu 0.000 0.000 0.259
Cu 0.250 0.391 0.241
S 0.003 0.390 0.978
S 0.250 0.290 0.504
S 0.250 0.493 0.502

Raw formation energy in eV/atom: -0.83

Computed, not measured: a geometry-optimized Ba2LiCu structure at the GGA-PBEsol level of DFT.

abc: 7.666 7.666 7.666
angles: 90.00 90.00 90.00
Space group F-43m (No. 216)
Inequivalent atoms, fractional coordinates:
Ba 0.000 0.000 0.000
Ba 0.250 0.250 0.250
Li 0.000 0.000 0.500
Cu 0.250 0.250 0.750

Formation energy in eV/atom: 0.234
N(E_F) in states/eV per atom: 0.934

Number 1: V 586 Å³/cell. Number 2: V 142 Å³/cell. Number 3: V 674 Å³/cell. Number 4: V 451 Å³/cell.